1.
A plane-wave DFT calculation with SCAN was carried out for a PBEsol-optimized structure of CsCaCO3F.

Cell lengths 9.2529, 9.2529, 4.5135 Å; angles 90.00, 90.00, 120.00 degrees
Element x y z (fractional)
Cs1 0.0000 0.2798 0.0000
Cs2 0.2798 0.0000 0.0000
Cs3 0.7202 0.7202 0.0000
Ca1 0.0000 0.6136 0.5000
Ca2 0.3864 0.3864 0.5000
Ca3 0.6136 0.0000 0.5000
C1 0.0000 0.0000 0.5000
C2 0.3333 0.6667 0.5000
C3 0.6667 0.3333 0.5000
O1 0.0000 0.8602 0.5000
O2 0.1398 0.1398 0.5000
O3 0.2055 0.5169 0.5000
O4 0.3114 0.7945 0.5000
O5 0.4831 0.6886 0.5000
O6 0.5169 0.2055 0.5000
O7 0.6886 0.4831 0.5000
O8 0.7945 0.3114 0.5000
O9 0.8602 0.0000 0.5000
F1 0.0000 0.6159 0.0000
F2 0.3841 0.3841 0.0000
F3 0.6159 0.0000 0.0000

Results
The calculation puts the energy relative to the elements, uncorrected at -2619 meV/atom. The volume is 15.94 A^3/atom. The density of states at the Fermi level is 0.000 states/eV per atom.

=====

2.
A plane-wave DFT calculation with SCAN was carried out for a PBEsol-optimized structure of CaCuC3.

Cell lengths 4.2749, 4.2749, 4.2749 Å; angles 90.00, 90.00, 90.00 degrees
Element x y z (fractional)
Ca1 0.0000 0.0000 0.0000
Cu1 0.5000 0.5000 0.5000
C1 0.0000 0.0000 0.5000
C2 0.0000 0.5000 0.0000
C3 0.5000 0.0000 0.0000

Results
The volume is 15.62 A^3/atom. Its calculated formation energy is 3.726 eV/atom. The density of states at the Fermi level is 0.714 states/eV per atom.

=====

3.
A plane-wave DFT calculation with SCAN was carried out for a PBEsol-optimized structure of CaFeCuC2.

Cell lengths 3.7177, 3.7177, 4.4502 Å; angles 90.00, 90.00, 90.00 degrees
Element x y z (fractional)
Ca1 0.0000 0.0000 0.0000
Fe1 0.5000 0.5000 0.5000
Cu1 0.5000 0.5000 0.0000
C1 0.0000 0.5000 0.5000
C2 0.5000 0.0000 0.5000

Results
The volume is 12.30 A^3/atom. Its calculated formation energy is 0.851 eV/atom. The density of states at the Fermi level is 0.498 states/eV per atom.

=====

4.
A plane-wave DFT calculation with SCAN was carried out for a PBEsol-optimized structure of CaHf2CF.

Cell lengths 4.2063, 4.2063, 6.5192 Å; angles 90.00, 90.00, 90.00 degrees
Element x y z (fractional)
Ca1 0.0000 0.0000 0.0000
Hf1 0.0000 0.5000 0.5000
Hf2 0.5000 0.0000 0.5000
C1 0.5000 0.5000 0.5000
F1 0.5000 0.5000 0.0000

Results
The calculation puts the energy relative to the elements, uncorrected at -335 meV/atom. The volume is 23.07 A^3/atom. The density of states at the Fermi level is 0.459 states/eV per atom.

=====

5.
A plane-wave DFT calculation with SCAN was carried out for a PBEsol-optimized structure of RbCaCO3F.

Cell lengths 9.1496, 9.1496, 4.4153 Å; angles 90.00, 90.00, 120.00 degrees
Element x y z (fractional)
Rb1 0.0000 0.7179 0.0000
Rb2 0.2821 0.2821 0.0000
Rb3 0.7179 0.0000 0.0000
Ca1 0.0000 0.3872 0.5000
Ca2 0.3872 0.0000 0.5000
Ca3 0.6128 0.6128 0.5000
C1 0.0000 0.0000 0.5000
C2 0.3333 0.6667 0.5000
C3 0.6667 0.3333 0.5000
O1 0.0000 0.1411 0.5000
O2 0.1411 0.0000 0.5000
O3 0.2043 0.6894 0.5000
O4 0.3106 0.5149 0.5000
O5 0.4851 0.7957 0.5000
O6 0.5149 0.3106 0.5000
O7 0.6894 0.2043 0.5000
O8 0.7957 0.4851 0.5000
O9 0.8589 0.8589 0.5000
F1 0.0000 0.3842 0.0000
F2 0.3842 0.0000 0.0000
F3 0.6158 0.6158 0.0000

Results
The calculation puts the energy relative to the elements, uncorrected at -2621 meV/atom. The volume is 15.24 A^3/atom. The density of states at the Fermi level is 0.000 states/eV per atom.

=====

6.
A plane-wave DFT calculation with SCAN was carried out for a PBEsol-optimized structure of Ca2OsCF.

Cell lengths 4.5610, 4.5610, 3.8325 Å; angles 90.00, 90.00, 90.00 degrees
Element x y z (fractional)
Ca1 0.0000 0.5000 0.0000
Ca2 0.5000 0.0000 0.0000
Os1 0.0000 0.0000 0.5000
C1 0.5000 0.5000 0.5000
F1 0.5000 0.5000 0.0000

Results
The calculation puts the energy relative to the elements, uncorrected at 399 meV/atom. The volume is 15.95 A^3/atom. The density of states at the Fermi level is 0.430 states/eV per atom.

=====

7.
A plane-wave DFT calculation with SCAN was carried out for a PBEsol-optimized structure of CaFe2C.

Cell lengths 3.9383, 3.9383, 3.9383 Å; angles 60.00, 60.00, 60.00 degrees
Element x y z (fractional)
Ca1 0.0000 0.0000 0.0000
Fe1 0.2500 0.2500 0.2500
Fe2 0.7500 0.7500 0.7500
C1 0.5000 0.5000 0.5000

Results
The volume is 10.80 A^3/atom. Its calculated formation energy is 1.719 eV/atom. The density of states at the Fermi level is 1.054 states/eV per atom.

=====

8.
A plane-wave DFT calculation with SCAN was carried out for a PBEsol-optimized structure of CaFe3C.

Cell lengths 4.3625, 4.3625, 4.3625 Å; angles 90.00, 90.00, 90.00 degrees
Element x y z (fractional)
Ca1 0.0000 0.0000 0.0000
Fe1 0.0000 0.0000 0.5000
Fe2 0.0000 0.5000 0.0000
Fe3 0.5000 0.0000 0.0000
C1 0.5000 0.5000 0.5000

Results
The volume is 16.60 A^3/atom. Its calculated formation energy is 3.346 eV/atom. The density of states at the Fermi level is 0.891 states/eV per atom.

=====

9.
A plane-wave DFT calculation with SCAN was carried out for a PBEsol-optimized structure of Ca2FeC.

Cell lengths 4.6303, 4.6303, 4.6303 Å; angles 60.00, 60.00, 60.00 degrees
Element x y z (fractional)
Ca1 0.2500 0.2500 0.2500
Ca2 0.7500 0.7500 0.7500
Fe1 0.0000 0.0000 0.0000
C1 0.5000 0.5000 0.5000

Results
The volume is 17.55 A^3/atom. Its calculated formation energy is 1.047 eV/atom. The density of states at the Fermi level is 2.267 states/eV per atom.

=====

10.
A plane-wave DFT calculation with SCAN was carried out for a PBEsol-optimized structure of Ca3MgFe2C6O18.

Cell lengths 4.8305, 4.8305, 15.8531 Å; angles 90.00, 90.00, 120.00 degrees
Element x y z (fractional)
Ca1 0.0000 0.0000 0.0000
Ca2 0.3333 0.6667 0.6660
Ca3 0.6667 0.3333 0.3340
Mg1 0.0000 0.0000 0.5000
Fe1 0.3333 0.6667 0.1668
Fe2 0.6667 0.3333 0.8332
C1 0.0000 0.0000 0.2431
C2 0.0000 0.0000 0.7569
C3 0.3333 0.6667 0.4238
C4 0.3333 0.6667 0.9096
C5 0.6667 0.3333 0.0904
C6 0.6667 0.3333 0.5762
O1 0.0258 0.7457 0.2440
O2 0.0528 0.6399 0.9105
O3 0.0838 0.3839 0.4228
O4 0.2543 0.2801 0.2440
O5 0.2801 0.0258 0.7560
O6 0.3001 0.9162 0.4228
O7 0.3601 0.4129 0.9105
O8 0.3839 0.3001 0.5772
O9 0.4129 0.0528 0.0895
O10 0.5871 0.9472 0.9105
O11 0.6161 0.6999 0.4228
O12 0.6399 0.5871 0.0895
O13 0.6999 0.0838 0.5772
O14 0.7199 0.9742 0.2440
O15 0.7457 0.7199 0.7560
O16 0.9162 0.6161 0.5772
O17 0.9472 0.3601 0.0895
O18 0.9742 0.2543 0.7560

Results
The calculation puts the energy relative to the elements, uncorrected at -2066 meV/atom. The volume is 10.68 A^3/atom. The density of states at the Fermi level is 0.430 states/eV per atom.